5
Lattice="4.6295 0.0000 0.0000 0.0000 4.6295 0.0000 0.0000 0.0000 5.3772" Properties=species:S:1:pos:R:3 comment="As2OsPdSe (PBE, relaxed)" space_group="No. 123" raw_formation_energy_kj_per_mol_atoms=74.6 e_tot_ev_per_atom=-5.068 mass_density_kg_m3=7571 de_polymorph_mev_per_atom=0.0 pbc="T T T"
As 0.0000 2.3147 0.0000
As 2.3147 0.0000 0.0000
Os 0.0000 0.0000 0.0000
Pd 2.3147 2.3147 2.6886
Se 0.0000 0.0000 2.6886